{
  "formula": "CaAu2",
  "functional": "GGA-PBEsol",
  "state": "optimized geometry",
  "e_form_ev_per_atom": -0.678,
  "lattice_angstrom": [[4.542, 0.000, 0.000], [2.271, 5.377, 0.066], [2.271, 0.818, 5.315]],
  "species": ["Au", "Au", "Ca", "Au", "Au", "Ca"],
  "fractional_positions": [[0.160, 0.881, 0.798], [0.160, 0.298, 0.381], [0.456, 0.294, 0.794], [0.840, 0.119, 0.202], [0.840, 0.702, 0.619], [0.544, 0.706, 0.206]]
}